Compound: CsLaN2
Source: Alexandria via LeMat-Bulk
Functional: PBE-GGA
Structure: optimized geometry

a = 7.4104 Å, b = 7.4104 Å, c = 7.4104 Å
α = 30.99°, β = 30.99°, γ = 30.99°
With the nearest neighbours (Å) after each atom.
Fractional positions:
Cs1 0.0000 0.0000 0.0000  2 N 2.32
La1 0.5000 0.5000 0.5000  6 N 2.58
N1 0.1096 0.1096 0.1096  1 Cs 2.32, 3 La 2.58
N2 0.8904 0.8904 0.8904  1 Cs 2.32, 3 La 2.58

Computed properties:
**Relative energy among the computed polymorphs**: 112 meV per atom
**Final energy**: -5.442 eV/atom
**SG**: No. 166
**D(E_F)**: 0.118 states/eV per atom
**Uncorrected formation energy**: 0.166 eV/atom